Material: Mn3SnO8
Method: DFT, PBE+U
State: relaxed

a b c (Å): 8.4500 8.4500 8.4500
angles (deg): 90.00 90.00 90.00
Fractional coordinates of all 48 atoms:
Mn1 0.1128 0.1372 0.6250
Mn2 0.1250 0.3872 0.8628
Mn3 0.1372 0.6250 0.1128
Mn4 0.3628 0.3750 0.6128
Mn5 0.3750 0.6128 0.3628
Mn6 0.3872 0.8628 0.1250
Mn7 0.6128 0.3628 0.3750
Mn8 0.6250 0.1128 0.1372
Mn9 0.6372 0.8750 0.8872
Mn10 0.8628 0.1250 0.3872
Mn11 0.8750 0.8872 0.6372
Mn12 0.8872 0.6372 0.8750
Sn1 0.1250 0.8750 0.3750
Sn2 0.3750 0.1250 0.8750
Sn3 0.6250 0.6250 0.6250
Sn4 0.8750 0.3750 0.1250
O1 0.0935 0.1233 0.3955
O2 0.1045 0.9065 0.6233
O3 0.1166 0.6166 0.8834
O4 0.1233 0.3955 0.0935
O5 0.1267 0.1565 0.8545
O6 0.1334 0.3666 0.6334
O7 0.1455 0.6267 0.3435
O8 0.1565 0.8545 0.1267
O9 0.3435 0.1455 0.6267
O10 0.3545 0.3733 0.8435
O11 0.3666 0.6334 0.1334
O12 0.3733 0.8435 0.3545
O13 0.3767 0.6045 0.5935
O14 0.3834 0.3834 0.3834
O15 0.3955 0.0935 0.1233
O16 0.4065 0.8767 0.8955
O17 0.5935 0.3767 0.6045
O18 0.6045 0.5935 0.3767
O19 0.6166 0.8834 0.1166
O20 0.6233 0.1045 0.9065
O21 0.6267 0.3435 0.1455
O22 0.6334 0.1334 0.3666
O23 0.6455 0.8733 0.6565
O24 0.6565 0.6455 0.8733
O25 0.8435 0.3545 0.3733
O26 0.8545 0.1267 0.1565
O27 0.8666 0.8666 0.8666
O28 0.8733 0.6565 0.6455
O29 0.8767 0.8955 0.4065
O30 0.8834 0.1166 0.6166
O31 0.8955 0.4065 0.8767
O32 0.9065 0.6233 0.1045

- total energy (eV per atom) = -6.8256